(1)
Material: Ba3NaBi
Method: DFT, PBE-GGA
State: optimized geometry

```
5
Lattice="-0.4649 -3.0345 6.1495 5.1887 -4.1855 -1.6731 4.4835 4.5292 2.5740" Properties=species:S:1:pos:R:3 pbc="T T T"
Na 4.6037 -1.3454 3.5252
Bi 0.0000 0.0000 0.0000
Ba 2.5944 -2.0928 -0.8366
Ba 2.2417 2.2646 1.2870
Ba -0.2325 -1.5173 3.0747
```

ΔH_f (0 K), meV/atom: -306.1

=====

(2)
Material: BeCu2C
Method: DFT, PBE-GGA
State: optimized geometry

```
4
Lattice="0.0000 2.6360 2.6360 2.6360 0.0000 2.6360 2.6360 2.6360 0.0000" Properties=species:S:1:pos:R:3 pbc="T T T"
Be 0.0000 0.0000 0.0000
C 2.6360 2.6360 2.6360
Cu 1.3180 1.3180 1.3180
Cu 3.9541 3.9541 3.9541
```

ΔH_f (0 K), meV/atom: 932.6

=====

(3)
Material: NdDyTlZn
Method: DFT, PBE-GGA
State: optimized geometry

```
4
Lattice="-0.7895 3.6052 -0.4347 -2.5325 -0.8654 -2.5782 -5.3138 -0.5135 5.3919" Properties=species:S:1:pos:R:3 pbc="T T T"
Nd -4.4421 -0.4293 4.5074
Dy -2.0196 -0.1952 2.0493
Tl -2.3001 1.3081 -0.8579
Zn -4.8049 1.0661 1.6837
```

ΔH_f (0 K), meV/atom: -351.6

=====

- Number 2 is which compound?
  BeCu2C

=====

- Look up the ΔH_f (0 K) of the third one.
  -351.6 meV/atom

=====

- The highest ΔH_f (0 K) belongs to which entry?
  BeCu2C

=====

- Number 3 is which compound?
  NdDyTlZn